Entry 1:
# Nd2Tm PBEsol relaxed
data_Nd2Tm
_chemical_formula_sum 'Nd6 Tm3'
_cell_length_a 3.5421
_cell_length_b 3.5421
_cell_length_c 26.0390
_cell_angle_alpha 90.00
_cell_angle_beta 90.00
_cell_angle_gamma 120.00
_space_group_name_H-M_alt 'R -3 m'
_space_group_IT_number 166
_space_group_name_Hall '-R 3 2"'
loop_
_atom_site_label
_atom_site_type_symbol
_atom_site_fract_x
_atom_site_fract_y
_atom_site_fract_z
_atom_site_occupancy
Nd1 Nd 0.0000 0.0000 0.2249 1
Tm1 Tm 0.0000 0.0000 0.0000 1
# ΔH_f (0 K) = 26.0 meV/atom
# DOS at the Fermi energy = 3.87 states/eV/f.u.
# Calculated total energy = -5.051 eV per atom
# V = 31.4 Å³/atom

***

Entry 2:
# NdTmZn2 PBEsol relaxed
data_NdTmZn2
_chemical_formula_sum 'Nd4 Tm4 Zn8'
_cell_length_a 7.0738
_cell_length_b 7.0738
_cell_length_c 7.0738
_cell_angle_alpha 90.00
_cell_angle_beta 90.00
_cell_angle_gamma 90.00
_space_group_name_H-M_alt 'F m -3 m'
_space_group_IT_number 225
_space_group_name_Hall '-F 4 2 3'
loop_
_atom_site_label
_atom_site_type_symbol
_atom_site_fract_x
_atom_site_fract_y
_atom_site_fract_z
_atom_site_occupancy
Nd1 Nd 0.0000 0.0000 0.0000 1
Tm1 Tm 0.0000 0.0000 0.5000 1
Zn1 Zn 0.2500 0.2500 0.2500 1
# ΔH_f (0 K) = -314.1 meV/atom
# DOS at the Fermi energy = 4.14 states/eV/f.u.
# Calculated total energy = -3.621 eV per atom
# V = 22.1 Å³/atom

***

Entry 3:
# Nd2Y PBEsol relaxed
data_Nd2Y
_chemical_formula_sum 'Nd6 Y3'
_cell_length_a 3.5832
_cell_length_b 3.5832
_cell_length_c 26.0843
_cell_angle_alpha 90.00
_cell_angle_beta 90.00
_cell_angle_gamma 120.00
_space_group_name_H-M_alt 'R -3 m'
_space_group_IT_number 166
_space_group_name_Hall '-R 3 2"'
loop_
_atom_site_label
_atom_site_type_symbol
_atom_site_fract_x
_atom_site_fract_y
_atom_site_fract_z
_atom_site_occupancy
Nd1 Nd 0.0000 0.0000 0.2236 1
Y1 Y 0.0000 0.0000 0.0000 1
# ΔH_f (0 K) = 17.5 meV/atom
# DOS at the Fermi energy = 3.94 states/eV/f.u.
# Calculated total energy = -5.701 eV per atom
# V = 32.2 Å³/atom

***

Entry 4:
# NdYZn2 PBEsol relaxed
data_NdYZn2
_chemical_formula_sum 'Nd4 Y4 Zn8'
_cell_length_a 7.1286
_cell_length_b 7.1286
_cell_length_c 7.1286
_cell_angle_alpha 90.00
_cell_angle_beta 90.00
_cell_angle_gamma 90.00
_space_group_name_H-M_alt 'F m -3 m'
_space_group_IT_number 225
_space_group_name_Hall '-F 4 2 3'
loop_
_atom_site_label
_atom_site_type_symbol
_atom_site_fract_x
_atom_site_fract_y
_atom_site_fract_z
_atom_site_occupancy
Nd1 Nd 0.0000 0.0000 0.0000 1
Y1 Y 0.0000 0.0000 0.5000 1
Zn1 Zn 0.2500 0.2500 0.2500 1
# ΔH_f (0 K) = -324.4 meV/atom
# DOS at the Fermi energy = 4.27 states/eV/f.u.
# Calculated total energy = -4.113 eV per atom
# V = 22.6 Å³/atom

***

Entry 5:
# Nd2Zn17 PBEsol relaxed
data_Nd2Zn17
_chemical_formula_sum 'Nd6 Zn51'
_cell_length_a 8.8811
_cell_length_b 8.8811
_cell_length_c 12.9692
_cell_angle_alpha 90.00
_cell_angle_beta 90.00
_cell_angle_gamma 120.00
_space_group_name_H-M_alt 'R -3 m'
_space_group_IT_number 166
_space_group_name_Hall '-R 3 2"'
loop_
_atom_site_label
_atom_site_type_symbol
_atom_site_fract_x
_atom_site_fract_y
_atom_site_fract_z
_atom_site_occupancy
Nd1 Nd 0.0000 0.0000 0.1638 1
Zn1 Zn 0.0000 0.0000 0.4013 1
Zn2 Zn 0.0000 0.2931 0.5000 1
Zn3 Zn 0.0000 0.5000 0.0000 1
Zn4 Zn 0.0069 0.5035 0.6536 1
# ΔH_f (0 K) = -278.1 meV/atom
# DOS at the Fermi energy = 4.67 states/eV/f.u.
# Calculated total energy = -2.237 eV per atom
# V = 15.5 Å³/atom

***

Entry 6:
# NdZn3 PBEsol relaxed
data_NdZn3
_chemical_formula_sum 'Nd4 Zn12'
_cell_length_a 6.5993
_cell_length_b 4.4616
_cell_length_c 10.0997
_cell_angle_alpha 90.00
_cell_angle_beta 90.00
_cell_angle_gamma 90.00
_space_group_name_H-M_alt 'P n m a'
_space_group_IT_number 62
_space_group_name_Hall '-P 2ac 2n'
loop_
_atom_site_label
_atom_site_type_symbol
_atom_site_fract_x
_atom_site_fract_y
_atom_site_fract_z
_atom_site_occupancy
Nd1 Nd 0.2261 0.2500 0.1562 1
Zn1 Zn 0.0390 0.7500 0.3886 1
Zn2 Zn 0.0821 0.2500 0.8559 1
Zn3 Zn 0.2273 0.7500 0.9541 1
# ΔH_f (0 K) = -343.7 meV/atom
# DOS at the Fermi energy = 2.80 states/eV/f.u.
# Calculated total energy = -2.822 eV per atom
# V = 18.6 Å³/atom

***

Entry 7:
# Nd3Zn22 PBEsol relaxed
data_Nd3Zn22
_chemical_formula_sum 'Nd12 Zn88'
_cell_length_a 8.7131
_cell_length_b 8.7131
_cell_length_c 20.8616
_cell_angle_alpha 90.00
_cell_angle_beta 90.00
_cell_angle_gamma 90.00
_space_group_name_H-M_alt 'I 41/a m d'
_space_group_IT_number 141
loop_
_space_group_symop_operation_xyz
'x,y,z'
'-x,-y,-z'
'-y+1/4,x+3/4,z+1/4'
'y+1/4,-x+3/4,-z+1/4'
'-x+1/2,-y,z+1/2'
'x+1/2,y,-z+1/2'
'y+1/4,-x+1/4,z+3/4'
'-y+1/4,x+1/4,-z+3/4'
'x,-y,-z'
'-x,y,z'
'-y+1/4,-x+1/4,-z+3/4'
'y+1/4,x+1/4,z+3/4'
'-x+1/2,y,-z+1/2'
'x+1/2,-y,z+1/2'
'y+1/4,x+3/4,-z+1/4'
'-y+1/4,-x+3/4,z+1/4'
'x+1/2,y+1/2,z+1/2'
'-x+1/2,-y+1/2,-z+1/2'
'-y+3/4,x+1/4,z+3/4'
'y+3/4,-x+1/4,-z+3/4'
'-x,-y+1/2,z'
'x,y+1/2,-z'
'y+3/4,-x+3/4,z+1/4'
'-y+3/4,x+3/4,-z+1/4'
'x+1/2,-y+1/2,-z+1/2'
'-x+1/2,y+1/2,z+1/2'
'-y+3/4,-x+3/4,-z+1/4'
'y+3/4,x+3/4,z+1/4'
'-x,y+1/2,-z'
'x,-y+1/2,z'
'y+3/4,x+1/4,-z+3/4'
'-y+3/4,-x+1/4,z+3/4'
loop_
_atom_site_label
_atom_site_type_symbol
_atom_site_fract_x
_atom_site_fract_y
_atom_site_fract_z
_atom_site_occupancy
Nd1 Nd 0.0000 0.2500 0.2535 1
Nd2 Nd 0.0000 0.2500 0.8750 1
Zn1 Zn 0.0000 0.0000 0.0000 1
Zn2 Zn 0.0000 0.0271 0.3766 1
Zn3 Zn 0.0000 0.0981 0.7368 1
Zn4 Zn 0.0000 0.1031 0.1168 1
Zn5 Zn 0.2314 0.0076 0.1888 1
# ΔH_f (0 K) = -293.5 meV/atom
# DOS at the Fermi energy = 8.23 states/eV/f.u.
# Calculated total energy = -2.306 eV per atom
# V = 15.8 Å³/atom

***

Entry 8:
# Ne PBEsol relaxed
data_Ne
_chemical_formula_sum 'Ne4'
_cell_length_a 4.3984
_cell_length_b 4.3984
_cell_length_c 4.3984
_cell_angle_alpha 90.00
_cell_angle_beta 90.00
_cell_angle_gamma 90.00
_space_group_name_H-M_alt 'F m -3 m'
_space_group_IT_number 225
_space_group_name_Hall '-F 4 2 3'
loop_
_atom_site_label
_atom_site_type_symbol
_atom_site_fract_x
_atom_site_fract_y
_atom_site_fract_z
_atom_site_occupancy
Ne1 Ne 0.0000 0.0000 0.0000 1
# ΔH_f (0 K) = 0.0 meV/atom
# DOS at the Fermi energy = 0.00 states/eV/f.u.
# Calculated total energy = -0.023 eV per atom
# V = 21.3 Å³/atom